Computed, not measured: LiPd7 at its PBEsol-relaxed geometry at the SCAN level of DFT.

Properties
As for the formation energy: -128 kJ/mol of formula units. The value obtained for the total energy is -29.14 eV/atom. The value obtained for the density of states at the Fermi level is 12.4 states/eV per cell. As for the volume: 14.18 Å³/atom.

```
8
Lattice="0.000 3.842 3.842 3.842 0.000 3.842 3.842 3.842 0.000" Properties=species:S:1:pos:R:3 pbc="T T T"
Li 0.000 0.000 0.000
Pd 1.921 1.921 0.000
Pd 1.921 0.000 1.921
Pd 3.842 1.921 1.921
Pd 0.000 1.921 1.921
Pd 1.921 3.842 1.921
Pd 1.921 1.921 3.842
Pd 3.842 3.842 3.842
```

---

Computed, not measured: K2MoRh at its PBEsol-relaxed geometry at the SCAN level of DFT.

Properties
As for the formation energy: 440 kJ/mol of formula units. The value obtained for the distance to the lowest polymorph of the same formula is 0.000 eV/atom. The value obtained for the total energy is -20.19 eV/atom. The value obtained for the density of states at the Fermi level is 3.9 states/eV per cell. As for the volume: 20.00 Å³/atom.

```
4
Lattice="1.494 -2.314 0.000 1.494 2.314 0.000 0.000 0.000 11.568" Properties=species:S:1:pos:R:3 pbc="T T T"
K 0.000 0.000 2.641
K 0.000 0.000 8.927
Mo 1.494 0.000 5.784
Rh 1.494 0.000 0.000
```

---

Computed, not measured: AlRe2Mo at its PBEsol-relaxed geometry at the SCAN level of DFT.

Properties
As for the formation energy: -93 kJ/mol of formula units. The value obtained for the total energy is -46.45 eV/atom. The value obtained for the density of states at the Fermi level is 2.0 states/eV per cell. As for the volume: 14.47 Å³/atom.

```
4
Lattice="-1.556 2.130 4.368 1.556 -2.130 4.368 1.556 2.130 -4.368" Properties=species:S:1:pos:R:3 pbc="T T T"
Al 0.000 0.000 0.000
Re 0.000 0.000 4.386
Re 0.000 2.130 2.170
Mo 1.556 0.000 2.238
```

---

Computed, not measured: TiP2H4O9 at its PBEsol-relaxed geometry at the SCAN level of DFT.

Properties
The value obtained for the total energy is -8.80 eV/atom. The value obtained for the density of states at the Fermi level is 0.0 states/eV per cell. As for the volume: 10.22 Å³/atom.

```
64
Lattice="8.628 0.000 0.000 0.000 4.982 0.000 -5.442 0.000 15.215" Properties=species:S:1:pos:R:3 pbc="T T T"
Ti -0.579 1.232 7.388
Ti -3.300 1.259 14.995
Ti 6.486 3.723 0.220
Ti 3.765 3.749 7.827
P -2.115 3.727 5.943
P -4.836 3.745 13.551
P 0.743 3.693 9.105
P 3.464 3.780 1.498
P -0.278 1.202 13.717
P 2.443 1.289 6.109
P 8.022 1.236 1.664
P 5.301 1.255 9.271
H 0.108 0.317 3.528
H -2.613 2.174 11.135
H 0.325 3.048 3.867
H -2.397 4.425 11.474
H -1.875 3.421 12.595
H 0.846 4.052 4.988
H -0.450 3.635 10.999
H 2.271 3.838 3.391
H 0.915 1.144 11.823
H 3.636 1.347 4.216
H 2.340 0.930 10.227
H 5.061 1.561 2.620
H 5.583 0.557 3.740
H 2.861 1.934 11.348
H 5.799 2.808 4.079
H 3.077 4.665 11.687
O -1.705 0.195 6.193
O -4.426 2.296 13.800
O -0.285 1.203 3.208
O -3.006 1.287 10.815
O 0.653 0.827 0.898
O -2.069 1.664 8.505
O -0.954 2.767 6.250
O -3.676 4.706 13.858
O -1.922 3.566 11.619
O 0.799 3.907 4.012
O 2.461 2.831 0.834
O -0.261 4.642 8.441
O 0.995 0.798 6.273
O -1.726 1.693 13.881
O 3.296 0.221 0.943
O 0.574 2.270 8.551
O -0.044 1.202 12.174
O 2.677 1.288 4.567
O 0.508 3.693 10.648
O 3.230 3.779 3.041
O 2.612 2.712 6.664
O -0.110 4.760 14.271
O 4.912 3.289 1.334
O 2.191 4.184 8.941
O 3.447 0.340 6.773
O 0.725 2.151 14.381
O 2.386 1.075 11.203
O 5.108 1.416 3.596
O 6.862 0.276 1.357
O 4.140 2.215 8.965
O 5.254 3.317 6.710
O 2.533 4.155 14.317
O 6.192 3.694 4.400
O 3.471 3.778 12.007
O 7.612 2.686 1.415
O 4.891 4.786 9.022
```

---

Computed, not measured: KCaPb2 at its PBEsol-relaxed geometry at the SCAN level of DFT.

Properties
As for the formation energy: -198 kJ/mol of formula units. The value obtained for the total energy is -42.90 eV/atom. The value obtained for the density of states at the Fermi level is 2.1 states/eV per cell. As for the volume: 32.67 Å³/atom.

```
4
Lattice="3.540 0.000 0.000 0.000 4.801 0.000 0.000 0.000 7.691" Properties=species:S:1:pos:R:3 pbc="T T T"
K 0.000 0.000 0.000
Ca 0.000 0.000 3.846
Pb 1.770 2.400 2.281
Pb 1.770 2.400 5.410
```

---

Computed, not measured: FeSbSe at its PBEsol-relaxed geometry at the SCAN level of DFT.

Properties
The calculation puts the uncorrected formation energy at -0.20 eV per atom. The value obtained for the total energy is -25.35 eV/atom. As for the volume: 17.42 Å³/atom.

```
12
Lattice="6.156 0.000 0.000 0.000 6.028 0.000 -2.510 0.000 5.635" Properties=species:S:1:pos:R:3 pbc="T T T"
Fe 0.779 0.056 1.132
Fe -0.476 2.958 3.950
Fe 4.122 3.070 1.685
Fe 2.867 5.972 4.502
Sb 1.886 3.859 0.702
Sb 0.631 5.183 3.519
Sb 3.015 0.845 2.115
Sb 1.760 2.169 4.933
Se -1.178 0.849 4.666
Se 0.077 2.165 1.849
Se 3.569 3.863 3.786
Se 4.824 5.179 0.969
```

---

Computed, not measured: TlAs2Pt2 at its PBEsol-relaxed geometry at the SCAN level of DFT.

Properties
As for the formation energy: -105 kJ/mol of formula units. The value obtained for the total energy is -50.84 eV/atom. The value obtained for the density of states at the Fermi level is 1.8 states/eV per cell. As for the volume: 20.05 Å³/atom.

```
5
Lattice="-2.294 2.294 4.765 2.294 -2.294 4.765 2.294 2.294 -4.765" Properties=species:S:1:pos:R:3 pbc="T T T"
Tl 0.000 0.000 0.000
As 2.294 0.000 2.382
As 0.000 2.294 2.382
Pt 0.000 0.000 3.422
Pt 0.000 0.000 6.107
```

---

Computed, not measured: FeTe2Os at its PBEsol-relaxed geometry at the SCAN level of DFT.

Properties
The calculation puts the uncorrected formation energy at 0.44 eV per atom. The value obtained for the distance to the lowest polymorph of the same formula is 0.000 eV/atom. The value obtained for the total energy is -40.68 eV/atom. The value obtained for the density of states at the Fermi level is 3.3 states/eV per cell. As for the volume: 20.33 Å³/atom.

```
4
Lattice="1.587 0.916 9.320 -1.587 0.916 9.320 0.000 -1.832 9.320" Properties=species:S:1:pos:R:3 pbc="T T T"
Fe 0.000 0.000 0.000
Te 0.000 0.000 14.869
Te 0.000 0.000 20.511
Os 0.000 0.000 7.550
```

---

Computed, not measured: Hf2Ti2Tl at its PBEsol-relaxed geometry at the SCAN level of DFT.

Properties
As for the formation energy: 10 kJ/mol of formula units. The value obtained for the total energy is -45.93 eV/atom. The value obtained for the density of states at the Fermi level is 8.0 states/eV per cell. As for the volume: 19.62 Å³/atom.

```
10
Lattice="7.188 0.000 0.000 0.000 7.188 0.000 0.000 0.000 3.797" Properties=species:S:1:pos:R:3 pbc="T T T"
Hf 1.182 2.413 0.000
Hf 2.413 6.007 0.000
Hf 4.776 1.182 0.000
Hf 6.007 4.776 0.000
Ti 0.936 4.530 1.898
Ti 2.658 0.936 1.898
Ti 4.530 6.253 1.898
Ti 6.253 2.658 1.898
Tl 0.000 0.000 1.898
Tl 3.594 3.594 1.898
```

---

Computed, not measured: IrOs2Pb at its PBEsol-relaxed geometry at the SCAN level of DFT.

Properties
As for the formation energy: 411 kJ/mol of formula units. The value obtained for the total energy is -71.60 eV/atom. The value obtained for the density of states at the Fermi level is 5.1 states/eV per cell. As for the volume: 15.90 Å³/atom.

```
4
Lattice="4.009 0.000 0.000 0.000 4.009 0.000 0.000 0.000 3.957" Properties=species:S:1:pos:R:3 pbc="T T T"
Ir 0.000 0.000 0.000
Os 0.000 2.004 1.979
Os 2.004 0.000 1.979
Pb 2.004 2.004 0.000
```

---

Computed, not measured: CoAgTe at its PBEsol-relaxed geometry at the SCAN level of DFT.

Properties
The calculation puts the uncorrected formation energy at 0.40 eV per atom. The value obtained for the distance to the lowest polymorph of the same formula is 0.000 eV/atom. The value obtained for the total energy is -28.24 eV/atom. The value obtained for the density of states at the Fermi level is 1.6 states/eV per cell. As for the volume: 18.08 Å³/atom.

```
3
Lattice="4.159 0.000 0.000 -2.079 3.601 0.000 0.000 0.000 3.621" Properties=species:S:1:pos:R:3 pbc="T T T"
Co 0.000 0.000 0.000
Ag 2.079 1.200 1.811
Te 0.000 2.401 0.000
```

---

Computed, not measured: Zr2CdRu at its PBEsol-relaxed geometry at the SCAN level of DFT.

Properties
As for the formation energy: -78 kJ/mol of formula units. The value obtained for the total energy is -31.86 eV/atom. The value obtained for the density of states at the Fermi level is 2.0 states/eV per cell. As for the volume: 19.79 Å³/atom.

```
4
Lattice="1.621 0.936 8.699 -1.621 0.936 8.699 0.000 -1.872 8.699" Properties=species:S:1:pos:R:3 pbc="T T T"
Zr 0.000 0.000 6.224
Zr 0.000 0.000 19.873
Cd 0.000 0.000 0.000
Ru 0.000 0.000 13.049
```